# 1
Pm2NdReN4 after structural relaxation. Source: Alexandria via LeMat-Bulk, functional PBE.

* raw total energy: -0.618 Ry/atom
* uncorrected formation energy: -0.90 eV per atom
* volume: 15.9 Å³ per atom
* M_tot: 0.0 Bohr magnetons per cell
* DOS(E_F): 0.222 states/eV per atom

a = 3.5249 Å, b = 6.2566 Å, c = 11.9888 Å
α = 90.00°, β = 90.00°, γ = 106.36°
Fractional positions:
Pm 0.3681 0.7362 0.5394
Pm 0.6319 0.2638 0.0394
Pm 0.6319 0.2638 0.4606
Pm 0.3681 0.7362 0.9606
Nd 0.1198 0.2395 0.7500
Nd 0.8802 0.7605 0.2500
Re 0.8529 0.7058 0.7500
Re 0.1471 0.2942 0.2500
N 0.2671 0.5341 0.1347
N 0.7329 0.4659 0.6347
N 0.7329 0.4659 0.8653
N 0.2671 0.5341 0.3653
N 0.0000 0.0000 0.5000
N 0.0000 0.0000 0.0000
N 0.4309 0.8618 0.7500
N 0.5691 0.1382 0.2500



# 2
SiRu after structural relaxation. Source: Alexandria via LeMat-Bulk, functional PBE.

* raw total energy: -0.588 Ry/atom
* uncorrected formation energy: -0.65 eV per atom
* volume: 13.3 Å³ per atom
* M_tot: 0.0 Bohr magnetons per cell
* DOS(E_F): 0.146 states/eV per atom

a = 4.7387 Å, b = 4.7387 Å, c = 4.7387 Å
α = 90.00°, β = 90.00°, γ = 90.00°
Fractional positions:
Ru 0.1295 0.1295 0.1295
Ru 0.3705 0.8705 0.6295
Ru 0.8705 0.6295 0.3705
Ru 0.6295 0.3705 0.8705
Si 0.8376 0.8376 0.8376
Si 0.6624 0.1624 0.3376
Si 0.1624 0.3376 0.6624
Si 0.3376 0.6624 0.1624



# 3
LaPm7Ho3 after structural relaxation. Source: Alexandria via LeMat-Bulk, functional PBE.

* raw total energy: -0.333 Ry/atom
* volume: 35.6 Å³ per atom
* E_form: 0.19 eV per atom
* M_tot: 0.0 Bohr magnetons per cell
* DOS(E_F): 1.593 states/eV per atom
* energy above the lowest structure with this stoichiometry: 0 meV/atom

a = 8.6876 Å, b = 7.2097 Å, c = 7.2097 Å
α = 120.00°, β = 90.00°, γ = 90.00°
Fractional positions:
La 0.4420 0.3333 0.6667
Pm 0.1092 0.1671 0.8329
Pm 0.1092 0.1671 0.3342
Pm 0.1226 0.6667 0.3333
Pm 0.4565 0.8327 0.1673
Pm 0.4565 0.3346 0.1673
Pm 0.4565 0.8327 0.6654
Pm 0.1092 0.6658 0.8329
Ho 0.7844 0.5005 0.4995
Ho 0.7844 0.5005 0.0011
Ho 0.7844 0.9989 0.4995



# 4
Al4TlRu after structural relaxation. Source: Alexandria via LeMat-Bulk, functional PBE.

* raw total energy: -0.308 Ry/atom
* volume: 17.1 Å³ per atom
* E_form: 0.24 eV per atom
* M_tot: 0.0 Bohr magnetons per cell
* DOS(E_F): 0.888 states/eV per atom

a = 5.2556 Å, b = 5.2556 Å, c = 5.2556 Å
α = 60.00°, β = 60.00°, γ = 60.00°
Fractional positions:
Al 0.8706 0.3765 0.3765
Al 0.3765 0.3765 0.8706
Al 0.3765 0.8706 0.3765
Al 0.3765 0.3765 0.3765
Tl 0.0000 0.0000 0.0000
Ru 0.7500 0.7500 0.7500



# 5
Ag4IBr2Cl after structural relaxation. Source: Alexandria via LeMat-Bulk, functional PBE.

* raw total energy: -0.192 Ry/atom
* uncorrected formation energy: -0.34 eV per atom
* volume: 31.5 Å³ per atom
* M_tot: 0.0 Bohr magnetons per cell

a = 6.3053 Å, b = 6.3053 Å, c = 7.7537 Å
α = 114.04°, β = 114.04°, γ = 89.89°
Fractional positions:
Ag 0.6132 0.6132 0.7511
Ag 0.3870 0.8627 0.2497
Ag 0.8627 0.3870 0.2497
Ag 0.1379 0.1379 0.7511
I 0.9998 0.9998 0.9996
Br 0.7499 0.2499 0.4998
Br 0.2499 0.7499 0.4998
Cl 0.4999 0.4999 0.9998



# 6
Tb2PrSm2Tm after structural relaxation. Source: Alexandria via LeMat-Bulk, functional PBE.

* raw total energy: -0.331 Ry/atom
* volume: 33.5 Å³ per atom
* E_form: 0.15 eV per atom
* M_tot: 0.0 Bohr magnetons per cell
* DOS(E_F): 1.458 states/eV per atom

a = 3.5147 Å, b = 16.4407 Å, c = 6.9543 Å
α = 90.00°, β = 90.00°, γ = 90.00°
Fractional positions:
Tb 0.5000 0.1552 0.2498
Tb 0.0000 0.6552 0.2502
Tb 0.5000 0.8448 0.7502
Tb 0.0000 0.3448 0.7498
Pr 0.0000 0.0000 0.0000
Pr 0.5000 0.5000 0.5000
Sm 0.5000 0.8415 0.2521
Sm 0.5000 0.1585 0.7479
Sm 0.0000 0.6585 0.7521
Sm 0.0000 0.3415 0.2479
Tm 0.5000 0.5000 0.0000
Tm 0.0000 0.0000 0.5000



# 7
Sr2Mg2Hg after structural relaxation. Source: Alexandria via LeMat-Bulk, functional PBE.

* raw total energy: -0.118 Ry/atom
* volume: 32.6 Å³ per atom
* E_form: -0.23 eV per atom
* M_tot: 0.0 Bohr magnetons per cell
* DOS(E_F): 0.729 states/eV per atom
* energy above the lowest structure with this stoichiometry: 0 meV/atom

a = 7.1348 Å, b = 6.8842 Å, c = 8.2138 Å
α = 106.37°, β = 90.00°, γ = 121.21°
Fractional positions:
Sr 0.5783 0.3286 0.6464
Sr 0.2497 0.6714 0.8536
Sr 0.4217 0.6714 0.3536
Sr 0.7503 0.3286 0.1464
Mg 0.7876 0.8149 0.0446
Mg 0.9726 0.1851 0.4554
Mg 0.2124 0.1851 0.9554
Mg 0.0274 0.8149 0.5446
Hg 0.7786 0.0000 0.7500
Hg 0.2214 0.0000 0.2500



# 8
AgPSe2 after structural relaxation. Source: Alexandria via LeMat-Bulk, functional PBE.

* raw total energy: -0.266 Ry/atom
* uncorrected formation energy: 0.19 eV per atom
* volume: 20.3 Å³ per atom
* M_tot: 0.0 Bohr magnetons per cell
* DOS(E_F): 0.357 states/eV per atom

a = 5.3703 Å, b = 5.3703 Å, c = 2.8190 Å
α = 90.00°, β = 90.00°, γ = 90.00°
Fractional positions:
Ag 0.0000 0.0000 0.0000
P 0.5000 0.5000 0.0000
Se 0.0000 0.5000 0.0000
Se 0.5000 0.0000 0.0000



# 9
Tb4MgCd2 after structural relaxation. Source: Alexandria via LeMat-Bulk, functional PBE.

* raw total energy: -0.224 Ry/atom
* volume: 30.7 Å³ per atom
* E_form: 0.08 eV per atom
* M_tot: 0.0 Bohr magnetons per cell
* DOS(E_F): 1.738 states/eV per atom
* energy above the lowest structure with this stoichiometry: 176 meV/atom

a = 5.3363 Å, b = 5.3363 Å, c = 9.2549 Å
α = 73.24°, β = 73.24°, γ = 60.00°
Fractional positions:
Tb 0.7207 0.7207 0.8379
Tb 0.8724 0.8724 0.3827
Tb 0.2793 0.2793 0.1621
Tb 0.1276 0.1276 0.6173
Mg 0.5000 0.5000 0.5000
Cd 0.6020 0.6020 0.1939
Cd 0.3980 0.3980 0.8061



# 10
HoFe2C after structural relaxation. Source: Alexandria via LeMat-Bulk, functional PBE.

* raw total energy: -0.544 Ry/atom
* volume: 13.5 Å³ per atom
* E_form: 0.29 eV per atom
* M_tot: 1.9 Bohr magnetons per cell
* DOS(E_F): 1.055 states/eV per atom
* energy above the lowest structure with this stoichiometry: 279 meV/atom

a = 3.0625 Å, b = 3.0625 Å, c = 6.8580 Å
α = 77.10°, β = 77.10°, γ = 60.00°
Each line ends with the local moment (μB).
Fractional positions:
C 0.0000 0.0000 0.0000  -0.08
Ho 0.5000 0.5000 0.5000  -0.24
Fe 0.7112 0.7112 0.8664  1.13
Fe 0.2888 0.2888 0.1336  1.13



# 11
ZrFeSe2 after structural relaxation. Source: Alexandria via LeMat-Bulk, functional PBE.

* raw total energy: -0.480 Ry/atom
* uncorrected formation energy: -0.53 eV per atom
* volume: 19.3 Å³ per atom
* M_tot: 3.8 Bohr magnetons per cell
* DOS(E_F): 1.042 states/eV per atom
* energy above the lowest structure with this stoichiometry: 145 meV/atom

a = 3.6434 Å, b = 3.6434 Å, c = 7.0305 Å
α = 75.01°, β = 75.01°, γ = 59.98°
Each line ends with the local moment (μB).
Fractional positions:
Fe 0.2500 0.2500 0.2500  3.09
Se 0.9934 0.9934 0.0197  0.06
Se 0.5065 0.5065 0.4803  0.06
Zr 0.7500 0.7500 0.7500  0.33



# 12
LiBeAs2Se after structural relaxation. Source: Alexandria via LeMat-Bulk, functional PBE.

* raw total energy: -0.260 Ry/atom
* uncorrected formation energy: 0.15 eV per atom
* volume: 19.9 Å³ per atom
* M_tot: 0.0 Bohr magnetons per cell
* DOS(E_F): 0.626 states/eV per atom
* energy above the lowest structure with this stoichiometry: 0 meV/atom

a = 4.4082 Å, b = 4.4082 Å, c = 5.1099 Å
α = 90.00°, β = 90.00°, γ = 90.00°
Fractional positions:
Be 0.0000 0.0000 0.0000
As 0.0000 0.5000 0.0000
As 0.5000 0.0000 0.0000
Se 0.0000 0.0000 0.5000
Li 0.5000 0.5000 0.5000